(1)
Material: CeZnIrAu
Method: DFT, PBE
State: optimized geometry

Summary:
space-group type = F-43m, No. 216
ΔH_f (0 K) = -0.388 eV per atom
total energy = -5.2247 eV per atom
total magnetic moment = 0.0 μB/f.u.

The structure in CIF format:
```
data_CeZnIrAu
_chemical_formula_sum 'Ce4 Zn4 Ir4 Au4'
_cell_length_a 6.7818
_cell_length_b 6.7818
_cell_length_c 6.7818
_cell_angle_alpha 90.00
_cell_angle_beta 90.00
_cell_angle_gamma 90.00
_space_group_name_H-M_alt 'P 1'
_space_group_IT_number 1
_space_group_name_Hall 'P 1'
loop_
_atom_site_label
_atom_site_fract_x
_atom_site_fract_y
_atom_site_fract_z
Ce1 0.0000 0.0000 0.0000
Ce2 0.0000 0.5000 0.5000
Ce3 0.5000 0.0000 0.5000
Ce4 0.5000 0.5000 0.0000
Zn1 0.0000 0.0000 0.5000
Zn2 0.0000 0.5000 0.0000
Zn3 0.5000 0.0000 0.0000
Zn4 0.5000 0.5000 0.5000
Ir1 0.2500 0.2500 0.2500
Ir2 0.2500 0.7500 0.7500
Ir3 0.7500 0.2500 0.7500
Ir4 0.7500 0.7500 0.2500
Au1 0.2500 0.2500 0.7500
Au2 0.2500 0.7500 0.2500
Au3 0.7500 0.2500 0.2500
Au4 0.7500 0.7500 0.7500
```


(2)
Material: PrY2Tm9
Method: DFT, PBE
State: optimized geometry

Summary:
space-group type = P6/mmm, No. 191
ΔH_f (0 K) = 0.050 eV per atom
total energy = -4.7790 eV per atom
E above lowest polymorph = 20 meV per atom
total magnetic moment = 0.0 μB/f.u.

The structure in CIF format:
```
data_PrY2Tm9
_chemical_formula_sum 'Pr1 Y2 Tm9'
_cell_length_a 11.1330
_cell_length_b 11.1330
_cell_length_c 3.4879
_cell_angle_alpha 90.00
_cell_angle_beta 90.00
_cell_angle_gamma 120.00
_space_group_name_H-M_alt 'P 1'
_space_group_IT_number 1
_space_group_name_Hall 'P 1'
loop_
_atom_site_label
_atom_site_fract_x
_atom_site_fract_y
_atom_site_fract_z
Pr1 0.0000 0.0000 0.0000
Y1 0.3333 0.6667 0.0000
Y2 0.6667 0.3333 0.0000
Tm1 0.0000 0.5000 0.0000
Tm2 0.1781 0.3563 0.5000
Tm3 0.1781 0.8219 0.5000
Tm4 0.3563 0.1781 0.5000
Tm5 0.5000 0.0000 0.0000
Tm6 0.5000 0.5000 0.0000
Tm7 0.6437 0.8219 0.5000
Tm8 0.8219 0.1781 0.5000
Tm9 0.8219 0.6437 0.5000
```


(3)
Material: LiLaTmAg
Method: DFT, PBE
State: optimized geometry

Summary:
space-group type = F-43m, No. 216
ΔH_f (0 K) = -0.067 eV per atom
total energy = -3.6081 eV per atom
total magnetic moment = 0.0 μB/f.u.

The structure in CIF format:
```
data_LiLaTmAg
_chemical_formula_sum 'Li4 La4 Tm4 Ag4'
_cell_length_a 7.4692
_cell_length_b 7.4692
_cell_length_c 7.4692
_cell_angle_alpha 90.00
_cell_angle_beta 90.00
_cell_angle_gamma 90.00
_space_group_name_H-M_alt 'P 1'
_space_group_IT_number 1
_space_group_name_Hall 'P 1'
loop_
_atom_site_label
_atom_site_fract_x
_atom_site_fract_y
_atom_site_fract_z
Li1 0.0000 0.0000 0.0000
Li2 0.0000 0.5000 0.5000
Li3 0.5000 0.0000 0.5000
Li4 0.5000 0.5000 0.0000
La1 0.2500 0.2500 0.7500
La2 0.2500 0.7500 0.2500
La3 0.7500 0.2500 0.2500
La4 0.7500 0.7500 0.7500
Tm1 0.2500 0.2500 0.2500
Tm2 0.2500 0.7500 0.7500
Tm3 0.7500 0.2500 0.7500
Tm4 0.7500 0.7500 0.2500
Ag1 0.0000 0.0000 0.5000
Ag2 0.0000 0.5000 0.0000
Ag3 0.5000 0.0000 0.0000
Ag4 0.5000 0.5000 0.5000
```


(4)
Material: PmMg5Cu2
Method: DFT, PBE
State: optimized geometry

Summary:
space-group type = Immm, No. 71
ΔH_f (0 K) = -0.104 eV per atom
total energy = -2.7186 eV per atom
total magnetic moment = 0.0 μB/f.u.

The structure in CIF format:
```
data_PmMg5Cu2
_chemical_formula_sum 'Pm2 Mg10 Cu4'
_cell_length_a 4.2654
_cell_length_b 8.0657
_cell_length_c 9.9465
_cell_angle_alpha 90.00
_cell_angle_beta 90.00
_cell_angle_gamma 90.00
_space_group_name_H-M_alt 'P 1'
_space_group_IT_number 1
_space_group_name_Hall 'P 1'
loop_
_atom_site_label
_atom_site_fract_x
_atom_site_fract_y
_atom_site_fract_z
Pm1 0.0000 0.0000 0.0000
Pm2 0.5000 0.5000 0.5000
Mg1 0.0000 0.1871 0.3412
Mg2 0.0000 0.1871 0.6588
Mg3 0.0000 0.5000 0.0000
Mg4 0.0000 0.8129 0.3412
Mg5 0.0000 0.8129 0.6588
Mg6 0.5000 0.0000 0.5000
Mg7 0.5000 0.3129 0.1588
Mg8 0.5000 0.3129 0.8412
Mg9 0.5000 0.6871 0.1588
Mg10 0.5000 0.6871 0.8412
Cu1 0.0000 0.5000 0.2678
Cu2 0.0000 0.5000 0.7322
Cu3 0.5000 0.0000 0.2322
Cu4 0.5000 0.0000 0.7678
```


(5)
Material: La6CeSmTm2
Method: DFT, PBE
State: optimized geometry

Summary:
space-group type = C2/m, No. 12
ΔH_f (0 K) = 0.222 eV per atom
total energy = -4.6944 eV per atom
total magnetic moment = 1.0 μB/f.u.

The structure in CIF format:
```
data_La6CeSmTm2
_chemical_formula_sum 'La6 Ce1 Sm1 Tm2'
_cell_length_a 6.9869
_cell_length_b 6.9869
_cell_length_c 9.0471
_cell_angle_alpha 107.61
_cell_angle_beta 107.61
_cell_angle_gamma 58.86
_space_group_name_H-M_alt 'P 1'
_space_group_IT_number 1
_space_group_name_Hall 'P 1'
loop_
_atom_site_label
_atom_site_fract_x
_atom_site_fract_y
_atom_site_fract_z
La1 0.0941 0.6130 0.6913
La2 0.1650 0.1650 0.9188
La3 0.3870 0.9059 0.3087
La4 0.6130 0.0941 0.6913
La5 0.8350 0.8350 0.0812
La6 0.9059 0.3870 0.3087
Ce1 0.0000 0.0000 0.5000
Sm1 0.5000 0.5000 0.0000
Tm1 0.3990 0.3990 0.3217
Tm2 0.6010 0.6010 0.6783
```


(6)
Material: NbSiNiRu2
Method: DFT, PBE
State: optimized geometry

Summary:
energy relative to the elements, uncorrected = 1169 meV per atom
space-group type = P4/mmm, No. 123
total energy = -6.7964 eV per atom
total magnetic moment = 0.1 μB/f.u.

The structure in CIF format:
```
data_NbSiNiRu2
_chemical_formula_sum 'Nb1 Si1 Ni1 Ru2'
_cell_length_a 4.4504
_cell_length_b 4.4504
_cell_length_c 4.4081
_cell_angle_alpha 90.00
_cell_angle_beta 90.00
_cell_angle_gamma 90.00
_space_group_name_H-M_alt 'P 1'
_space_group_IT_number 1
_space_group_name_Hall 'P 1'
loop_
_atom_site_label
_atom_site_fract_x
_atom_site_fract_y
_atom_site_fract_z
Nb1 0.0000 0.0000 0.0000
Si1 0.5000 0.5000 0.0000
Ni1 0.0000 0.0000 0.5000
Ru1 0.0000 0.5000 0.5000
Ru2 0.5000 0.0000 0.5000
```


(7)
Material: VSbRh2
Method: DFT, PBE
State: optimized geometry

Summary:
energy relative to the elements, uncorrected = 64 meV per atom
space-group type = I-42d, No. 122
total energy = -6.9220 eV per atom
total magnetic moment = 0.0 μB/f.u.

The structure in CIF format:
```
data_VSbRh2
_chemical_formula_sum 'V4 Sb4 Rh8'
_cell_length_a 4.0393
_cell_length_b 4.0393
_cell_length_c 17.0672
_cell_angle_alpha 90.00
_cell_angle_beta 90.00
_cell_angle_gamma 90.00
_space_group_name_H-M_alt 'P 1'
_space_group_IT_number 1
_space_group_name_Hall 'P 1'
loop_
_atom_site_label
_atom_site_fract_x
_atom_site_fract_y
_atom_site_fract_z
V1 0.0000 0.0000 0.0000
V2 0.0000 0.5000 0.2500
V3 0.5000 0.0000 0.7500
V4 0.5000 0.5000 0.5000
Sb1 0.0000 0.0000 0.5000
Sb2 0.0000 0.5000 0.7500
Sb3 0.5000 0.0000 0.2500
Sb4 0.5000 0.5000 0.0000
Rh1 0.2287 0.2500 0.1250
Rh2 0.2500 0.7287 0.3750
Rh3 0.2500 0.7713 0.8750
Rh4 0.2713 0.2500 0.6250
Rh5 0.7287 0.7500 0.6250
Rh6 0.7500 0.2287 0.8750
Rh7 0.7500 0.2713 0.3750
Rh8 0.7713 0.7500 0.1250
```


(8)
Material: Ba2ZrAgHg
Method: DFT, PBE
State: optimized geometry

Summary:
space-group type = P4/mmm, No. 123
ΔH_f (0 K) = 0.402 eV per atom
total energy = -2.7074 eV per atom
total magnetic moment = 2.3 μB/f.u.

The structure in CIF format:
```
data_Ba2ZrAgHg
_chemical_formula_sum 'Ba2 Zr1 Ag1 Hg1'
_cell_length_a 6.4086
_cell_length_b 6.4086
_cell_length_c 5.3139
_cell_angle_alpha 90.00
_cell_angle_beta 90.00
_cell_angle_gamma 90.00
_space_group_name_H-M_alt 'P 1'
_space_group_IT_number 1
_space_group_name_Hall 'P 1'
loop_
_atom_site_label
_atom_site_fract_x
_atom_site_fract_y
_atom_site_fract_z
Ba1 0.0000 0.5000 0.0000
Ba2 0.5000 0.0000 0.0000
Zr1 0.0000 0.0000 0.5000
Ag1 0.0000 0.0000 0.0000
Hg1 0.5000 0.5000 0.5000
```


| no. | calculated density (g/cm³) |
| --- | --- |
| 1 | 12.66 |
| 2 | 8.16 |
| 3 | 6.74 |
| 4 | 3.82 |
| 5 | 6.85 |
| 6 | 7.26 |
| 7 | 9.03 |
| 8 | 5.13 |